Computed, not measured: a relaxed TlRe2CF crystal at the PBE-GGA level of DFT.

Size of the total moment   6.19 μB/cell
Electronic total energy   -4.57 eV per atom
Calculated volume   126 Å³/f.u.

Cell: 5.315 5.315 4.477 Å, 90.00 90.00 90.00°
Space group P4/mmm (No. 123)
Symmetry-distinct sites (fractional):
Tl: 0.000 0.000 0.000 (multiplicity 1)
Re: 0.000 0.500 0.000 (multiplicity 2)
C: 0.500 0.500 0.500 (multiplicity 1)
F: 0.000 0.000 0.500 (multiplicity 1)



Computed, not measured: a relaxed RhCF2 crystal at the PBE-GGA level of DFT.

Size of the total moment   0.00 μB/cell
Calculated volume   40 Å³/f.u.
ΔE to the lowest computed polymorph   0.0 meV/atom

Cell: 3.218 3.218 15.283 Å, 90.00 90.00 90.00°
Space group I-42d (No. 122)
Symmetry-distinct sites (fractional):
Rh: 0.000 0.000 0.000 (multiplicity 4)
C: 0.000 0.000 0.500 (multiplicity 4)
F: 0.243 0.250 0.125 (multiplicity 8)



Computed, not measured: a relaxed Rh2CF crystal at the PBE-GGA level of DFT.

Size of the total moment   0.00 μB/cell
Calculated volume   42 Å³/f.u.
ΔE to the lowest computed polymorph   589.7 meV/atom

Cell: 5.524 5.524 5.524 Å, 90.00 90.00 90.00°
Space group Fm-3m (No. 225)
Symmetry-distinct sites (fractional):
Rh: 0.250 0.250 0.250 (multiplicity 8)
C: 0.000 0.000 0.000 (multiplicity 4)
F: 0.000 0.000 0.500 (multiplicity 4)



Computed, not measured: a relaxed RhCF3 crystal at the PBE-GGA level of DFT.

Size of the total moment   0.99 μB/cell
Calculated volume   69 Å³/f.u.
ΔE to the lowest computed polymorph   0.0 meV/atom

Cell: 4.099 4.099 4.099 Å, 90.00 90.00 90.00°
Space group Pm-3m (No. 221)
Symmetry-distinct sites (fractional):
Rh: 0.000 0.000 0.000 (multiplicity 1)
C: 0.500 0.500 0.500 (multiplicity 1)
F: 0.000 0.000 0.500 (multiplicity 3)



Computed, not measured: a relaxed RhCF2 crystal at the PBE-GGA level of DFT.

Size of the total moment   4.02 μB/cell
Calculated volume   43 Å³/f.u.
ΔE to the lowest computed polymorph   518.3 meV/atom

Cell: 5.571 5.571 5.571 Å, 90.00 90.00 90.00°
Space group Fm-3m (No. 225)
Symmetry-distinct sites (fractional):
Rh: 0.000 0.000 0.000 (multiplicity 4)
C: 0.000 0.000 0.500 (multiplicity 4)
F: 0.250 0.250 0.250 (multiplicity 8)



Computed, not measured: a relaxed Rh2CF crystal at the PBE-GGA level of DFT.

Size of the total moment   2.74 μB/cell
Calculated volume   56 Å³/f.u.
ΔE to the lowest computed polymorph   0.0 meV/atom

Cell: 4.910 4.910 9.304 Å, 90.00 90.00 90.00°
Space group I-42d (No. 122)
Symmetry-distinct sites (fractional):
Rh: 0.183 0.250 0.125 (multiplicity 8)
C: 0.000 0.000 0.000 (multiplicity 4)
F: 0.000 0.000 0.500 (multiplicity 4)



Computed, not measured: a relaxed RhCF2 crystal at the PBE-GGA level of DFT.

Size of the total moment   3.45 μB/cell
Calculated volume   44 Å³/f.u.
ΔE to the lowest computed polymorph   324.7 meV/atom

Cell: 2.6304 2.6304 22.1975 Å, 90.00 90.00 120.00°
Space group R-3m (No. 166, hexagonal axes)
Symmetry-distinct sites (fractional):
Rh: 0.0000 0.0000 0.0000 (multiplicity 3)
C: 0.0000 0.0000 0.5000 (multiplicity 3)
F: 0.0000 0.0000 0.4248 (multiplicity 6)



Computed, not measured: a relaxed RhCF3 crystal at the PBE-GGA level of DFT.

Size of the total moment   2.00 μB/cell
Calculated volume   59 Å³/f.u.
ΔE to the lowest computed polymorph   67.1 meV/atom

Cell: 3.882 3.882 3.882 Å, 90.00 90.00 90.00°
Space group Pm-3m (No. 221)
Symmetry-distinct sites (fractional):
Rh: 0.000 0.000 0.000 (multiplicity 1)
C: 0.500 0.500 0.500 (multiplicity 1)
F: 0.000 0.500 0.500 (multiplicity 3)



Computed, not measured: a relaxed RhCF2 crystal at the PBE-GGA level of DFT.

Size of the total moment   0.00 μB/cell
Calculated volume   45 Å³/f.u.
ΔE to the lowest computed polymorph   244.3 meV/atom

Cell: 2.6330 2.6330 22.2716 Å, 90.00 90.00 120.00°
Space group R-3m (No. 166, hexagonal axes)
Symmetry-distinct sites (fractional):
Rh: 0.0000 0.0000 0.0000 (multiplicity 3)
C: 0.0000 0.0000 0.5000 (multiplicity 3)
F: 0.0000 0.0000 0.0886 (multiplicity 6)



Computed, not measured: a relaxed TaRhC2F crystal at the PBE-GGA level of DFT.

Size of the total moment   0.00 μB/cell
Electronic total energy   -7.09 eV per atom
Calculated volume   68 Å³/f.u.

Cell: 4.185 4.185 3.907 Å, 90.00 90.00 90.00°
Space group P4/mmm (No. 123)
Symmetry-distinct sites (fractional):
Ta: 0.000 0.000 0.000 (multiplicity 1)
Rh: 0.500 0.500 0.500 (multiplicity 1)
C: 0.000 0.500 0.000 (multiplicity 2)
F: 0.000 0.000 0.500 (multiplicity 1)



Computed, not measured: a relaxed Tl2RhCF crystal at the PBE-GGA level of DFT.

Size of the total moment   1.76 μB/cell
Electronic total energy   -3.52 eV per atom
Calculated volume   110 Å³/f.u.

Cell: 5.153 5.153 4.140 Å, 90.00 90.00 90.00°
Space group P4/mmm (No. 123)
Symmetry-distinct sites (fractional):
Tl: 0.000 0.500 0.000 (multiplicity 2)
Rh: 0.000 0.000 0.500 (multiplicity 1)
C: 0.500 0.500 0.500 (multiplicity 1)
F: 0.000 0.000 0.000 (multiplicity 1)



Computed, not measured: a relaxed RuCF2 crystal at the PBE-GGA level of DFT.

Size of the total moment   6.62 μB/cell
Calculated volume   39 Å³/f.u.
ΔE to the lowest computed polymorph   0.0 meV/atom

Cell: 3.180 3.180 15.485 Å, 90.00 90.00 90.00°
Space group I-42d (No. 122)
Symmetry-distinct sites (fractional):
Ru: 0.000 0.000 0.000 (multiplicity 4)
C: 0.000 0.000 0.500 (multiplicity 4)
F: 0.241 0.250 0.125 (multiplicity 8)